Here is a relaxed Nb2TeSCl crystal from Alexandria via LeMat-Bulk. Energies are from PBE.

Output
ΔE_f (raw)	0.91	eV/atom

Structure (CIF):
```
data_Nb2TeSCl
_cell_length_a 4.749
_cell_length_b 4.749
_cell_length_c 4.549
_cell_angle_alpha 90.00
_cell_angle_beta 90.00
_cell_angle_gamma 90.00
_symmetry_space_group_name_H-M 'P 4/m m m'
_symmetry_Int_Tables_number 123
_symmetry_space_group_name_Hall '-P 4 2'
loop_
_atom_site_label
_atom_site_type_symbol
_atom_site_fract_x
_atom_site_fract_y
_atom_site_fract_z
Nb1 Nb 0.000 0.500 0.000
Te1 Te 0.000 0.000 0.500
S1 S 0.500 0.500 0.500
Cl1 Cl 0.500 0.500 0.000
```

---

Here is a relaxed NbTeSCl2 crystal from Alexandria via LeMat-Bulk. Energies are from PBE.

Output
ΔE_f (raw)	-0.21	eV/atom
E above lowest polymorph	0.0	meV/atom

Structure (CIF):
```
data_NbTeSCl2
_cell_length_a 4.941
_cell_length_b 4.941
_cell_length_c 4.894
_cell_angle_alpha 90.00
_cell_angle_beta 90.00
_cell_angle_gamma 90.00
_symmetry_space_group_name_H-M 'P 4/m m m'
_symmetry_Int_Tables_number 123
_symmetry_space_group_name_Hall '-P 4 2'
loop_
_atom_site_label
_atom_site_type_symbol
_atom_site_fract_x
_atom_site_fract_y
_atom_site_fract_z
Nb1 Nb 0.000 0.000 0.000
Te1 Te 0.500 0.500 0.500
S1 S 0.000 0.000 0.500
Cl1 Cl 0.000 0.500 0.000
```